# 1
Ac2Pr4Sm3 after structural relaxation. Source: Alexandria via LeMat-Bulk, functional PBE-GGA.

Unit cell a=3.7593 b=3.7593 c=27.8719 alpha=90.00 beta=90.00 gamma=120.00
With the nearest neighbours (Å) after each atom.
Positions (direct):
Sm (0.6667, 0.3333, 0.6495)  6 Pr 3.65-3.69, 6 Sm 3.76
Sm (0.0000, 0.0000, 0.3269)  6 Pr 3.59-3.71, 6 Sm 3.76
Sm (0.0000, 0.0000, 0.9826)  6 Ac 3.74-3.82, 6 Sm 3.76
Pr (0.0000, 0.0000, 0.7548)  3 Sm 3.65, 6 Pr 3.76, 3 Ac 3.87
Pr (0.6667, 0.3333, 0.2241)  3 Sm 3.59, 1 Ac 3.68, 6 Pr 3.76
Pr (0.6667, 0.3333, 0.4348)  9 Pr 3.71-3.76, 3 Sm 3.71
Pr (0.0000, 0.0000, 0.5426)  3 Sm 3.69, 9 Pr 3.71-3.76
Ac (0.6667, 0.3333, 0.8700)  6 Ac 3.76, 3 Sm 3.82, 3 Pr 3.87
Ac (0.6667, 0.3333, 0.0919)  1 Pr 3.68, 3 Sm 3.74, 6 Ac 3.76

Computed properties:
magnetization: 0.00 Bohr magnetons per cell
final energy: -0.333 Ry per atom



# 2
NdCuRh2 after structural relaxation. Source: Alexandria via LeMat-Bulk, functional PBE-GGA.

Unit cell a=4.6150 b=4.6150 c=4.6140 alpha=59.99 beta=59.99 gamma=60.00
With the nearest neighbours (Å) after each atom.
Positions (direct):
Rh (0.7499, 0.7499, 0.7504)  4 Cu 2.82-2.83, 4 Nd 2.83
Rh (0.2501, 0.2501, 0.2496)  4 Cu 2.82-2.83, 4 Nd 2.83
Cu (0.5000, 0.5000, 0.5000)  8 Rh 2.82-2.83
Nd (0.0000, 0.0000, 0.0000)  8 Rh 2.83

Computed properties:
magnetization: 0.00 Bohr magnetons per cell
final energy: -0.451 Ry per atom



# 3
BaAs after structural relaxation. Source: Alexandria via LeMat-Bulk, functional PBE-GGA.

Unit cell a=9.0931 b=9.0931 c=9.0931 alpha=90.00 beta=90.00 gamma=90.00
With the nearest neighbours (Å) after each atom.
Positions (direct):
Ba (0.5000, 0.0000, 0.2500)  4 As 3.21
Ba (0.5000, 0.0000, 0.7500)  4 As 3.21
Ba (0.7500, 0.5000, 0.0000)  4 As 3.21
Ba (0.0000, 0.7500, 0.5000)  4 As 3.21
Ba (0.2500, 0.5000, 0.0000)  4 As 3.21
Ba (0.0000, 0.2500, 0.5000)  4 As 3.21
As (0.5000, 0.2500, 0.0000)  4 Ba 3.21
As (0.7500, 0.0000, 0.5000)  4 Ba 3.21
As (0.5000, 0.7500, 0.0000)  4 Ba 3.21
As (0.2500, 0.0000, 0.5000)  4 Ba 3.21
As (0.0000, 0.5000, 0.2500)  4 Ba 3.21
As (0.0000, 0.5000, 0.7500)  4 Ba 3.21

Computed properties:
magnetization: 6.09 Bohr magnetons per cell
final energy: -0.270 Ry per atom



# 4
Hg2OsRh after structural relaxation. Source: Alexandria via LeMat-Bulk, functional PBE-GGA.

Unit cell a=2.8865 b=2.8865 c=8.6271 alpha=90.00 beta=90.00 gamma=90.00
With the nearest neighbours (Å) after each atom.
Positions (direct):
Os (0.0000, 0.0000, 0.5314)  4 Rh 2.61, 4 Os 2.89
Hg (0.0000, 0.0000, 0.9707)  4 Hg 2.89, 4 Rh 2.97
Hg (0.5000, 0.5000, 0.2776)  4 Hg 2.89, 4 Os 2.99
Rh (0.5000, 0.5000, 0.7203)  4 Os 2.61, 4 Rh 2.89

Computed properties:
magnetization: 0.00 Bohr magnetons per cell
final energy: -0.325 Ry per atom



# 5
ErLu3Co after structural relaxation. Source: Alexandria via LeMat-Bulk, functional PBE-GGA.

Unit cell a=5.1507 b=5.1507 c=5.1507 alpha=90.00 beta=90.00 gamma=90.00
With the nearest neighbours (Å) after each atom.
Positions (direct):
Co (0.0000, 0.0000, 0.0000)  6 Lu 2.58
Lu (0.0000, 0.0000, 0.5000)  2 Co 2.58
Lu (0.0000, 0.5000, 0.0000)  2 Co 2.58
Lu (0.5000, 0.0000, 0.0000)  2 Co 2.58
Er (0.5000, 0.5000, 0.5000)  12 Lu 3.64

Computed properties:
magnetization: 0.00 Bohr magnetons per cell
final energy: -0.375 Ry per atom



# 6
SrInSb after structural relaxation. Source: Alexandria via LeMat-Bulk, functional PBE-GGA.

Unit cell a=5.4101 b=5.4101 c=5.4101 alpha=60.00 beta=60.00 gamma=60.00
With the nearest neighbours (Å) after each atom.
Positions (direct):
Sb (0.5000, 0.5000, 0.5000)  4 Sr 3.31
In (0.0000, 0.0000, 0.0000)  4 Sr 3.31
Sr (0.7500, 0.7500, 0.7500)  4 In 3.31, 4 Sb 3.31

Computed properties:
magnetization: 0.00 Bohr magnetons per cell
formation energy without anion corrections: -311 meV/atom



# 7
CeNd8Y5 after structural relaxation. Source: Alexandria via LeMat-Bulk, functional PBE-GGA.

Unit cell a=9.4568 b=7.8662 c=9.4568 alpha=107.76 beta=118.16 gamma=109.26
With the nearest neighbours (Å) after each atom.
Positions (direct):
Nd (0.4050, 0.4235, 0.4721)  5 Y 3.23-3.50, 2 Nd 3.37-3.53, 1 Ce 3.55
Nd (0.1686, 0.9144, 0.6053)  5 Y 3.34-3.58, 3 Nd 3.40-3.72
Nd (0.5163, 0.6070, 0.2176)  5 Nd 3.40-3.78, 3 Y 3.49-3.62, 1 Ce 3.71
Nd (0.6209, 0.9275, 0.8341)  5 Nd 3.37-3.72, 3 Y 3.50-3.57, 1 Ce 3.51
Nd (0.6107, 0.3930, 0.9093)  5 Nd 3.40-3.78, 3 Y 3.49-3.62, 1 Ce 3.71
Nd (0.6909, 0.0856, 0.2542)  5 Y 3.34-3.58, 3 Nd 3.40-3.72
Nd (0.0486, 0.5765, 0.9815)  5 Y 3.23-3.50, 2 Nd 3.37-3.53, 1 Ce 3.55
Nd (0.9066, 0.0725, 0.6935)  5 Nd 3.37-3.72, 3 Y 3.50-3.57, 1 Ce 3.51
Y (0.2729, 0.0568, 0.0383)  6 Nd 3.37-3.54, 2 Y 3.68-3.71
Y (0.4537, 0.0000, 0.4537)  8 Nd 3.47-3.62, 2 Y 3.71
Y (0.0249, 0.4448, 0.2658)  6 Nd 3.23-3.57
Y (0.9815, 0.9432, 0.2160)  6 Nd 3.37-3.54, 2 Y 3.68-3.71
Y (0.8209, 0.5552, 0.5800)  6 Nd 3.23-3.57
Ce (0.2285, 0.5000, 0.7285)  8 Nd 3.51-3.90, 2 Y 3.66

Computed properties:
magnetization: 0.87 Bohr magnetons per cell
final energy: -0.386 Ry per atom



# 8
Pm4NdSm2Ho after structural relaxation. Source: Alexandria via LeMat-Bulk, functional PBE-GGA.

Unit cell a=9.5998 b=9.5997 c=11.9370 alpha=128.36 beta=128.36 gamma=88.30
With the nearest neighbours (Å) after each atom.
Positions (direct):
Pm (0.7536, 0.2465, 0.9990)  1 Ho 3.30, 3 Sm 3.39-3.46, 2 Nd 3.43-3.46, 2 Pm 3.46
Pm (0.2535, 0.7464, 0.5010)  1 Ho 3.30, 3 Sm 3.39-3.46, 2 Nd 3.43-3.46, 2 Pm 3.46
Pm (0.2464, 0.7535, 0.0010)  1 Ho 3.30, 3 Sm 3.39-3.46, 2 Nd 3.43-3.46, 2 Pm 3.46
Pm (0.2183, 0.2172, 0.4656)  2 Ho 3.32-3.54, 3 Sm 3.34-3.59, 1 Nd 3.36, 2 Pm 3.46
Pm (0.2828, 0.2817, 0.0344)  2 Ho 3.32-3.54, 3 Sm 3.34-3.59, 1 Nd 3.36, 2 Pm 3.46
Pm (0.7465, 0.2536, 0.4990)  1 Ho 3.30, 3 Sm 3.39-3.46, 2 Nd 3.43-3.46, 2 Pm 3.46
Pm (0.7172, 0.7183, 0.9656)  2 Ho 3.32-3.54, 3 Sm 3.34-3.59, 1 Nd 3.36, 2 Pm 3.46
Pm (0.7817, 0.7828, 0.5344)  2 Ho 3.32-3.54, 3 Sm 3.34-3.59, 1 Nd 3.36, 2 Pm 3.46
Sm (0.5000, 0.0000, 0.0000)  6 Pm 3.34-3.46, 2 Nd 3.46
Sm (0.0000, 0.0000, 0.5000)  6 Pm 3.36-3.59, 2 Sm 3.46
Sm (0.5000, 0.0000, 0.5000)  6 Pm 3.34-3.46, 2 Nd 3.46
Sm (0.5000, 0.5000, 0.0000)  6 Pm 3.36-3.59, 2 Sm 3.46
Ho (0.0000, 0.0000, 0.0000)  6 Pm 3.30-3.54, 2 Ho 3.46
Ho (0.5000, 0.5000, 0.5000)  6 Pm 3.30-3.54, 2 Ho 3.46
Nd (0.0000, 0.5000, 0.0000)  6 Pm 3.36-3.46, 2 Sm 3.46
Nd (0.0000, 0.5000, 0.5000)  6 Pm 3.36-3.46, 2 Sm 3.46

Computed properties:
magnetization: 0.01 Bohr magnetons per cell
final energy: -0.319 Ry per atom



# 9
TaMnCu3 after structural relaxation. Source: Alexandria via LeMat-Bulk, functional PBE-GGA.

Unit cell a=4.3461 b=4.3461 c=4.3461 alpha=90.00 beta=90.00 gamma=90.00
With the nearest neighbours (Å) after each atom.
Positions (direct):
Mn (0.0000, 0.0000, 0.0000)  6 Cu 2.17
Cu (0.0000, 0.5000, 0.0000)  2 Mn 2.17
Cu (0.5000, 0.0000, 0.0000)  2 Mn 2.17
Cu (0.0000, 0.0000, 0.5000)  2 Mn 2.17
Ta (0.5000, 0.5000, 0.5000)  12 Cu 3.07

Computed properties:
magnetization: 3.63 Bohr magnetons per cell
final energy: -0.399 Ry per atom



# 10
LaO after structural relaxation. Source: Alexandria via LeMat-Bulk, functional PBE-GGA.

Unit cell a=9.1931 b=9.1931 c=4.1566 alpha=90.00 beta=90.00 gamma=120.00
With the nearest neighbours (Å) after each atom.
Positions (direct):
La (0.3058, 0.4136, 0.7500)  4 O 2.37-2.46
La (0.6942, 0.5864, 0.2500)  4 O 2.37-2.46
La (0.5864, 0.8922, 0.7500)  4 O 2.37-2.46
La (0.4136, 0.1078, 0.2500)  4 O 2.37-2.46
La (0.1078, 0.6942, 0.7500)  4 O 2.37-2.46
La (0.8922, 0.3058, 0.2500)  4 O 2.37-2.46
O (0.6027, 0.6374, 0.7500)  4 La 2.37-2.46
O (0.6374, 0.0346, 0.2500)  4 La 2.37-2.46
O (0.9654, 0.6027, 0.2500)  4 La 2.37-2.46
O (0.0346, 0.3973, 0.7500)  4 La 2.37-2.46
O (0.3626, 0.9654, 0.7500)  4 La 2.37-2.46
O (0.3973, 0.3626, 0.2500)  4 La 2.37-2.46

Computed properties:
magnetization: 0.00 Bohr magnetons per cell
formation energy without anion corrections: -2798 meV/atom



# 11
Ac2PmMg9 after structural relaxation. Source: Alexandria via LeMat-Bulk, functional PBE-GGA.

Unit cell a=6.2140 b=6.2140 c=10.7012 alpha=73.12 beta=73.12 gamma=60.00
With the nearest neighbours (Å) after each atom.
Positions (direct):
Ac (0.1418, 0.1418, 0.5746)  12 Mg 3.61-3.80, 3 Ac 3.89
Ac (0.8582, 0.8582, 0.4254)  12 Mg 3.61-3.80, 3 Ac 3.89
Mg (0.4184, 0.4184, 0.2424)  7 Mg 3.02-3.16
Mg (0.9208, 0.4184, 0.2424)  7 Mg 3.02-3.16
Mg (0.5816, 0.0792, 0.7576)  7 Mg 3.02-3.16
Mg (0.3339, 0.3339, 0.9982)  6 Mg 3.02-3.04
Mg (0.0792, 0.5816, 0.7576)  7 Mg 3.02-3.16
Mg (0.6661, 0.6661, 0.0018)  6 Mg 3.02-3.04
Mg (0.4184, 0.9208, 0.2424)  7 Mg 3.02-3.16
Mg (0.5816, 0.5816, 0.7576)  7 Mg 3.02-3.16
Mg (0.5000, 0.5000, 0.5000)  6 Mg 3.16
Pm (0.0000, 0.0000, 0.0000)  18 Mg 3.59-3.95

Computed properties:
magnetization: 0.00 Bohr magnetons per cell
final energy: -0.172 Ry per atom



# 12
Ce3OsCl2 after structural relaxation. Source: Alexandria via LeMat-Bulk, functional PBE-GGA.

Unit cell a=9.1192 b=9.1192 c=9.1192 alpha=154.37 beta=154.37 gamma=36.57
With the nearest neighbours (Å) after each atom.
Positions (direct):
Ce (0.1589, 0.1589, 0.0000)  1 Os 2.75, 5 Cl 2.87-2.98
Ce (0.5000, 0.5000, 0.0000)  4 Os 2.86, 2 Cl 2.93
Ce (0.8411, 0.8411, 0.0000)  1 Os 2.75, 5 Cl 2.87-2.98
Cl (0.6692, 0.6692, 0.0000)  6 Ce 2.87-2.98
Cl (0.3308, 0.3308, 0.0000)  6 Ce 2.87-2.98
Os (0.0000, 0.0000, 0.0000)  6 Ce 2.75-2.86

Computed properties:
magnetization: 1.75 Bohr magnetons per cell
formation energy without anion corrections: -977 meV/atom